Record 1
Computed, not measured: CePm2PrSm6 after structural relaxation at the PBE level of DFT.

Properties
* magnetic moment: 1.05 μB/cell
* crystal system: monoclinic
* formation enthalpy at 0 K: 0.238 eV per atom
* SG: C2/m, No. 12
* DFT total energy: -4.615 eV per atom

a b c (Å): 9.019 6.875 6.710
angles (deg): 120.82 103.20 90.00
Site moments in Bohr magnetons follow the coordinates.
Atoms (fractional coordinates):
Ce: 0.000 0.500 0.000  0.72
Pm: 0.163 0.087 0.175  0.01
Pm: 0.837 0.913 0.825  0.01
Pr: 0.500 0.000 0.000  -0.01
Sm: 0.415 0.626 0.251  0.01
Sm: 0.197 0.062 0.647  0.01
Sm: 0.803 0.416 0.353  0.01
Sm: 0.197 0.584 0.647  0.01
Sm: 0.803 0.938 0.353  0.01
Sm: 0.585 0.374 0.749  0.01


Record 2
Computed, not measured: OsRu2S after structural relaxation at the PBE level of DFT.

Properties
* ΔE_f (raw): 1.11 eV/f.u.
* magnetic moment: 0.00 μB/cell
* crystal system: monoclinic
* SG: Cm, No. 8
* DFT total energy: -8.201 eV per atom

a b c (Å): 4.499 2.850 9.569
angles (deg): 90.00 116.11 90.00
Atoms (fractional coordinates):
Ru: 0.545 0.000 0.863
Ru: 0.545 0.500 0.363
Ru: 0.854 0.000 0.656
Ru: 0.854 0.500 0.156
S: 0.436 0.000 0.148
S: 0.436 0.500 0.648
Os: 0.110 0.000 0.438
Os: 0.110 0.500 0.938


Record 3
Computed, not measured: CoRuPt2 after structural relaxation at the PBE level of DFT.

Properties
* magnetic moment: 3.07 μB/cell
* crystal system: tetragonal
* formation enthalpy at 0 K: 0.045 eV per atom
* SG: P4/mmm, No. 123
* DFT total energy: -7.071 eV per atom

a b c (Å): 3.904 3.818 3.818
angles (deg): 90.00 90.00 90.00
Site moments in Bohr magnetons follow the coordinates.
Atoms (fractional coordinates):
Co: 0.500 0.000 0.500  1.85
Pt: 0.000 0.000 0.000  0.20
Pt: 0.000 0.500 0.500  0.20
Ru: 0.500 0.500 0.000  0.84


Record 4
Computed, not measured: Ag3GeAu4 after structural relaxation at the PBE level of DFT.

Properties
* magnetic moment: 0.00 μB/cell
* crystal system: monoclinic
* formation enthalpy at 0 K: 0.035 eV per atom
* SG: C2/m, No. 12
* DFT total energy: -3.251 eV per atom

a b c (Å): 4.823 3.009 11.275
angles (deg): 113.55 102.35 90.00
Atoms (fractional coordinates):
Ag: 0.000 0.500 0.000
Ag: 0.264 0.293 0.529
Ag: 0.736 0.707 0.471
Ge: 0.500 0.000 0.000
Au: 0.613 0.842 0.227
Au: 0.387 0.158 0.773
Au: 0.860 0.579 0.720
Au: 0.140 0.421 0.280


Record 5
Computed, not measured: ZrMnPb2 after structural relaxation at the PBE level of DFT.

Properties
* magnetic moment: 5.78 μB/cell
* crystal system: tetragonal
* formation enthalpy at 0 K: 0.470 eV per atom
* SG: I-42d, No. 122
* DFT total energy: -5.814 eV per atom

a b c (Å): 4.416 4.416 10.815
angles (deg): 78.22 78.22 90.00
Site moments in Bohr magnetons follow the coordinates.
Atoms (fractional coordinates):
Pb: 0.620 0.125 0.250  -0.02
Pb: 0.130 0.625 0.250  -0.02
Pb: 0.375 0.380 0.750  -0.02
Pb: 0.875 0.870 0.750  -0.02
Mn: 0.500 0.500 0.000  3.55
Mn: 0.250 0.750 0.500  3.55
Zr: 0.000 0.000 0.000  -0.54
Zr: 0.750 0.250 0.500  -0.54


Record 6
Computed, not measured: KIn5Pd3 after structural relaxation at the PBE level of DFT.

Properties
* magnetic moment: 0.00 μB/cell
* crystal system: orthorhombic
* formation enthalpy at 0 K: -0.319 eV per atom
* SG: Cmcm, No. 63
* DFT total energy: -3.693 eV per atom

a b c (Å): 4.473 7.328 14.415
angles (deg): 90.00 90.00 107.77
Atoms (fractional coordinates):
K: 0.839 0.677 0.750
K: 0.161 0.323 0.250
In: 0.793 0.587 0.428
In: 0.207 0.413 0.928
In: 0.000 0.000 0.500
In: 0.000 0.000 0.000
In: 0.447 0.895 0.151
In: 0.553 0.105 0.849
In: 0.553 0.105 0.651
In: 0.793 0.587 0.072
In: 0.207 0.413 0.572
In: 0.447 0.895 0.349
Pd: 0.393 0.786 0.968
Pd: 0.879 0.757 0.250
Pd: 0.393 0.786 0.532
Pd: 0.607 0.214 0.468
Pd: 0.121 0.243 0.750
Pd: 0.607 0.214 0.032


Q: Which of these has the lowest DFT total energy?
A: OsRu2S


Q: What is the formula in the second record?
A: OsRu2S